Record 1
The following is a PBEsol calculation of NaSr2Cl2 after structural relaxation, from Alexandria via LeMat-Bulk.

Unit cell a=8.1203 b=8.1203 c=8.1203 alpha=144.73 beta=144.73 gamma=50.73
Closest atoms and distances in Å follow each position.
Atoms (fractional coordinates):
Na: 0.0000 0.0000 0.0000  8 Sr 4.03, 8 Cl 4.42
Sr: 0.3610 0.3610 0.0000  4 Cl 2.95
Sr: 0.6390 0.6390 0.0000  4 Cl 2.95
Cl: 0.2500 0.7500 0.5000  4 Sr 2.95
Cl: 0.7500 0.2500 0.5000  4 Sr 2.95

Summary:
Formation energy from raw total energies: -1402.1 meV per atom
Space-group type: No. 139
Calculated density: 2.5 g/cm3

Record 2
The following is a PBEsol calculation of Li2VO2F after structural relaxation, from Alexandria via LeMat-Bulk.

Unit cell a=7.6790 b=7.6790 c=5.0904 alpha=109.01 beta=109.01 gamma=21.28
Closest atoms and distances in Å follow each position.
Atoms (fractional coordinates):
Li: 0.0000 0.0000 0.0000  4 F 2.03, 2 O 2.06
Li: 0.1692 0.1692 0.8392  2 F 2.05, 4 O 2.06-2.13
Li: 0.5000 0.5000 0.5000  4 O 2.07, 2 F 2.16
Li: 0.8308 0.8308 0.1608  2 F 2.05, 4 O 2.06-2.13
V: 0.3331 0.3331 0.6413  5 O 1.95-2.04, 1 F 2.10
V: 0.6669 0.6669 0.3587  5 O 1.95-2.04, 1 F 2.10
O: 0.0857 0.0857 0.4100  2 V 1.95, 4 Li 2.06-2.13
O: 0.2474 0.2474 0.2569  3 V 1.96-2.04, 3 Li 2.06
O: 0.7526 0.7526 0.7431  3 V 1.96-2.04, 3 Li 2.06
O: 0.9143 0.9143 0.5900  2 V 1.95, 4 Li 2.06-2.13
F: 0.4139 0.4139 0.0666  5 Li 2.03-2.16, 1 V 2.10
F: 0.5861 0.5861 0.9334  5 Li 2.03-2.16, 1 V 2.10

Summary:
ΔE to the lowest computed polymorph: 0.47 eV per formula unit
Formation energy from raw total energies: -2435.4 meV per atom
Space-group type: No. 12
Calculated density: 3.7 g/cm3